1.
This record from Alexandria via LeMat-Bulk describes a relaxed TlMoRh crystal. The functional is PBE.

The space group is P3m1 (No. 156) and the conventional cell measures 2.9828, 2.9828 and 6.9611 Å, with angles of 90.00, 90.00 and 120.00 degrees. The inequivalent atoms are Tl at (0.0000, 0.0000, 0.0000), Mo at (0.6667, 0.3333, 0.3660) and Rh at (0.3333, 0.6667, 0.6502).

Its volume is 54 Å³ per cell. The formation energy comes out at 0.38 eV/atom.

---

2.
This record from Alexandria via LeMat-Bulk describes a relaxed Tl2MoRh crystal. The functional is PBE.

The space group is Pmmm (No. 47) and the conventional cell measures 3.106, 4.742 and 5.333 Å, with angles of 90.00, 90.00 and 90.00 degrees. The inequivalent atoms are Tl at (0.000, 0.000, 0.000), Tl at (0.500, 0.000, 0.500), Mo at (0.000, 0.500, 0.500) and Rh at (0.500, 0.500, 0.000).

Its volume is 79 Å³ per cell. The formation energy comes out at 0.64 eV/atom. The polymorph energy (0 for the lowest one) is 352.1 meV/atom.

---

3.
This record from Alexandria via LeMat-Bulk describes a relaxed Tl2MoRh crystal. The functional is PBE.

The space group is Fm-3m (No. 225) and the conventional cell measures 6.735, 6.735 and 6.735 Å, with angles of 90.00, 90.00 and 90.00 degrees. The inequivalent atoms are Tl at (0.250, 0.250, 0.250), Mo at (0.000, 0.000, 0.000) and Rh at (0.000, 0.000, 0.500).

Its volume is 306 Å³ per cell. The formation energy comes out at 0.59 eV/atom. The polymorph energy (0 for the lowest one) is 302.3 meV/atom.

---

4.
This record from Alexandria via LeMat-Bulk describes a relaxed TlMo3Rh crystal. The functional is PBE.

The space group is Pm-3m (No. 221) and the conventional cell measures 4.747, 4.747 and 4.747 Å, with angles of 90.00, 90.00 and 90.00 degrees. The inequivalent atoms are Tl at (0.000, 0.000, 0.000), Mo at (0.000, 0.500, 0.500) and Rh at (0.500, 0.500, 0.500).

Its volume is 107 Å³ per cell. The formation energy comes out at 1.57 eV/atom. The polymorph energy (0 for the lowest one) is 0.0 meV/atom.

---

5.
This record from Alexandria via LeMat-Bulk describes a relaxed Tl2MoRh crystal. The functional is PBE.

The space group is Imm2 (No. 44) and the conventional cell measures 2.971, 4.853 and 11.258 Å, with angles of 90.00, 90.00 and 90.00 degrees. The inequivalent atoms are Tl at (0.000, 0.000, 0.000), Tl at (0.000, 0.500, 0.208), Mo at (0.000, 0.500, 0.756) and Rh at (0.000, 0.000, 0.444).

Its volume is 162 Å³ per cell. The formation energy comes out at 0.50 eV/atom. The polymorph energy (0 for the lowest one) is 204.1 meV/atom.

---

6.
This record from Alexandria via LeMat-Bulk describes a relaxed Tl2MoRh crystal. The functional is PBE.

The space group is R3m (No. 160, hexagonal axes) and the conventional cell measures 3.0727, 3.0727 and 29.5969 Å, with angles of 90.00, 90.00 and 120.00 degrees. The inequivalent atoms are Tl at (0.0000, 0.0000, 0.0000), Tl at (0.0000, 0.0000, 0.2330), Mo at (0.0000, 0.0000, 0.4814) and Rh at (0.0000, 0.0000, 0.7487).

Its volume is 242 Å³ per cell. The formation energy comes out at 0.40 eV/atom. The polymorph energy (0 for the lowest one) is 107.1 meV/atom.

---

7.
This record from Alexandria via LeMat-Bulk describes a relaxed TlVMoRh2 crystal. The functional is PBE.

The space group is P4/mmm (No. 123) and the conventional cell measures 4.662, 4.662 and 5.226 Å, with angles of 90.00, 90.00 and 90.00 degrees. The inequivalent atoms are Tl at (0.000, 0.000, 0.000), V at (0.500, 0.500, 0.000), Mo at (0.000, 0.000, 0.500) and Rh at (0.000, 0.500, 0.500).

Its volume is 114 Å³ per cell. The formation energy comes out at 1.50 eV/atom.

---

8.
This record from Alexandria via LeMat-Bulk describes a relaxed U2MoRh9 crystal. The functional is PBE.

The space group is P4/mmm (No. 123) and the conventional cell measures 3.972, 3.972 and 11.894 Å, with angles of 90.00, 90.00 and 90.00 degrees. The inequivalent atoms are U at (0.000, 0.000, 0.170), Mo at (0.000, 0.000, 0.500), Rh at (0.000, 0.500, 0.000), Rh at (0.000, 0.500, 0.343), Rh at (0.500, 0.500, 0.172) and Rh at (0.500, 0.500, 0.500).

Its volume is 188 Å³ per cell. The formation energy comes out at -0.49 eV/atom.

---

Please write out number 2 again, unchanged.
This record from Alexandria via LeMat-Bulk describes a relaxed Tl2MoRh crystal. The functional is PBE.

The space group is Pmmm (No. 47) and the conventional cell measures 3.106, 4.742 and 5.333 Å, with angles of 90.00, 90.00 and 90.00 degrees. The inequivalent atoms are Tl at (0.000, 0.000, 0.000), Tl at (0.500, 0.000, 0.500), Mo at (0.000, 0.500, 0.500) and Rh at (0.500, 0.500, 0.000).

Its volume is 79 Å³ per cell. The formation energy comes out at 0.64 eV/atom. The polymorph energy (0 for the lowest one) is 352.1 meV/atom.

---

Q: volume of number 2 (Tl2MoRh)?
A: 79 Å³ per cell

---

Q: Among the records above, which one has the highest volume?
A: number 3